No. 1
BaCo2Pb | meta-GGA SCAN | single point on PBEsol structure

a b c (Å): 3.573 3.573 6.913
angles (deg): 90.00 90.00 90.00
Last column: magnetic moment on the atom in μB.
Positions (direct):
Co (0.000, 0.000, 0.838)  1.71
Co (0.000, 0.000, 0.162)  1.71
Pb (0.500, 0.500, 0.000)  -0.03
Ba (0.500, 0.500, 0.500)  -0.10

Values from the calculation:
total magnetization = 3.0 Bohr magnetons per cell
N(E_F) = 0.929 states/eV per atom
formation energy from the elements = 0.658 eV/atom

***

No. 2
RbSrI3 | meta-GGA SCAN | single point on PBEsol structure

a b c (Å): 6.324 6.324 6.324
angles (deg): 90.00 90.00 90.00
Positions (direct):
Rb (0.500, 0.500, 0.500)
I (0.500, 0.000, 0.000)
I (0.000, 0.500, 0.000)
I (0.000, 0.000, 0.500)
Sr (0.000, 0.000, 0.000)

Values from the calculation:
total magnetization = 0.0 Bohr magnetons per cell
formation energy without anion corrections = -1.725 eV/atom
N(E_F) = 0.000 states/eV per atom

***

No. 3
BeAg3Sn | meta-GGA SCAN | single point on PBEsol structure

a b c (Å): 5.085 5.085 5.085
angles (deg): 90.00 90.00 90.00
Positions (direct):
Be (0.500, 0.500, 0.500)
Ag (0.500, 0.000, 0.000)
Ag (0.000, 0.500, 0.000)
Ag (0.000, 0.000, 0.500)
Sn (0.000, 0.000, 0.000)

Values from the calculation:
total magnetization = 0.0 Bohr magnetons per cell
N(E_F) = 0.423 states/eV per atom
formation energy from the elements = 1.123 eV/atom

***

No. 4
CsPrCdTe3 | meta-GGA SCAN | single point on PBEsol structure

a b c (Å): 4.552 8.657 11.920
angles (deg): 90.00 90.00 105.24
Positions (direct):
Pr (0.000, 0.000, 0.000)
Pr (0.000, 0.000, 0.500)
Te (0.068, 0.136, 0.250)
Te (0.628, 0.256, 0.947)
Te (0.372, 0.744, 0.053)
Te (0.932, 0.864, 0.750)
Te (0.372, 0.744, 0.447)
Te (0.628, 0.256, 0.553)
Cs (0.251, 0.501, 0.750)
Cs (0.749, 0.499, 0.250)
Cd (0.463, 0.926, 0.250)
Cd (0.537, 0.074, 0.750)

Values from the calculation:
total magnetization = 0.0 Bohr magnetons per cell
formation energy without anion corrections = -1.258 eV/atom
N(E_F) = 0.000 states/eV per atom

***

No. 5
MgCrFe2 | meta-GGA SCAN | single point on PBEsol structure

a b c (Å): 2.574 4.481 4.481
angles (deg): 108.08 90.00 90.00
Last column: magnetic moment on the atom in μB.
Positions (direct):
Fe (0.000, 0.000, 0.500)  2.45
Fe (0.000, 0.500, 0.000)  2.45
Mg (0.500, 0.000, 0.000)  -0.04
Cr (0.500, 0.500, 0.500)  -2.88

Values from the calculation:
total magnetization = 1.8 Bohr magnetons per cell
N(E_F) = 0.604 states/eV per atom
formation energy from the elements = 0.293 eV/atom

***

No. 6
NaSc2AlBr | meta-GGA SCAN | single point on PBEsol structure

a b c (Å): 4.949 4.975 4.975
angles (deg): 90.00 90.00 90.00
Positions (direct):
Sc (0.000, 0.500, 0.000)
Sc (0.000, 0.000, 0.500)
Na (0.500, 0.000, 0.000)
Br (0.000, 0.000, 0.000)
Al (0.500, 0.500, 0.500)

Values from the calculation:
total magnetization = 0.0 Bohr magnetons per cell
formation energy without anion corrections = -0.043 eV/atom
N(E_F) = 0.420 states/eV per atom